(1)
First-principles (PBE) data for K2CdRe after structural relaxation, as listed in Alexandria via LeMat-Bulk.

Calculated values
As for the total energy: -23.2 eV per cell. The calculation puts the formation energy at 0.994 eV per atom.

a = 9.7920 Å, b = 2.8342 Å, c = 9.6571 Å
α = 90.00°, β = 92.26°, γ = 90.00°
Space group Cm (No. 8)
Unique sites:
K 0.0000 0.0000 0.0000 (multiplicity 2)
K 0.2376 0.0000 0.5763 (multiplicity 2)
Cd 0.4897 0.0000 0.3357 (multiplicity 2)
Re 0.2518 0.5000 0.2460 (multiplicity 2)

***

(2)
First-principles (PBE) data for ZrTaRu2 after structural relaxation, as listed in Alexandria via LeMat-Bulk.

Calculated values
As for the total energy: -39.6 eV per cell. The calculation puts the formation energy at -0.173 eV per atom.

a = 3.0952 Å, b = 4.2638 Å, c = 5.3249 Å
α = 90.00°, β = 90.00°, γ = 90.00°
Space group Pmm2 (No. 25)
Unique sites:
Zr 0.0000 0.0000 0.0000 (multiplicity 1)
Ta 0.5000 0.5000 0.6518 (multiplicity 1)
Ru 0.0000 0.0000 0.5108 (multiplicity 1)
Ru 0.5000 0.5000 0.1384 (multiplicity 1)

***

(3)
First-principles (PBE) data for P2PbW after structural relaxation, as listed in Alexandria via LeMat-Bulk.

Calculated values
As for the total energy: -91.7 eV per cell. The calculation puts the formation energy at 1.140 eV per atom.

a = 6.5988 Å, b = 6.5988 Å, c = 6.5988 Å
α = 90.00°, β = 90.00°, γ = 90.00°
Space group F-43m (No. 216)
Unique sites:
P 0.0000 0.0000 0.0000 (multiplicity 4)
P 0.2500 0.2500 0.2500 (multiplicity 4)
Pb 0.0000 0.0000 0.5000 (multiplicity 4)
W 0.2500 0.2500 0.7500 (multiplicity 4)

***

(4)
First-principles (PBE) data for TlPtBr2 after structural relaxation, as listed in Alexandria via LeMat-Bulk.

Calculated values
The uncorrected formation energy comes out at -0.76 eV/f.u. As for the total energy: -25.0 eV per cell. As for the energy relative to the lowest polymorph listed for this composition: 12 meV per atom.

a = 6.4684 Å, b = 9.3466 Å, c = 3.9076 Å
α = 90.00°, β = 90.00°, γ = 90.00°
Space group Cmmm (No. 65)
Unique sites:
Tl 0.0000 0.0000 0.0000 (multiplicity 2)
Pt 0.0000 0.5000 0.0000 (multiplicity 2)
Br 0.0000 0.3239 0.5000 (multiplicity 4)

***

(5)
First-principles (PBE) data for K2ZnSb after structural relaxation, as listed in Alexandria via LeMat-Bulk.

Calculated values
The uncorrected formation energy comes out at -0.17 eV/f.u. As for the total energy: -7.8 eV per cell. As for the energy relative to the lowest polymorph listed for this composition: 200 meV per atom.

a = 3.3706 Å, b = 5.1275 Å, c = 7.9797 Å
α = 90.00°, β = 90.65°, γ = 90.00°
Space group P2/m (No. 10)
Unique sites:
K 0.0048 0.0000 0.2340 (multiplicity 2)
Zn 0.5000 0.5000 0.5000 (multiplicity 1)
Sb 0.5000 0.5000 0.0000 (multiplicity 1)

***

(6)
First-principles (PBE) data for Er3SnP2Ir9 after structural relaxation, as listed in Alexandria via LeMat-Bulk.

Calculated values
As for the total energy: -113.5 eV per cell. The calculation puts the formation energy at -0.352 eV per atom.

a = 5.6261 Å, b = 5.6261 Å, c = 10.5166 Å
α = 90.00°, β = 90.00°, γ = 120.00°
Space group P-3m1 (No. 164)
Unique sites:
Er 0.0000 0.0000 0.0000 (multiplicity 1)
Er 0.3333 0.6667 0.5932 (multiplicity 2)
Sn 0.0000 0.0000 0.5000 (multiplicity 1)
P 0.3333 0.6667 0.1559 (multiplicity 2)
Ir 0.0000 0.5000 0.0000 (multiplicity 3)
Ir 0.1609 0.3217 0.2991 (multiplicity 6)

***

(7)
First-principles (PBE) data for AlAs after structural relaxation, as listed in Alexandria via LeMat-Bulk.

Calculated values
As for the total energy: -51.5 eV per cell. The calculation puts the formation energy at -0.093 eV per atom.

a = 3.9891 Å, b = 3.9891 Å, c = 19.9840 Å
α = 90.00°, β = 90.00°, γ = 120.00°
Space group P-3m1 (No. 164)
Unique sites:
Al 0.0000 0.0000 0.2281 (multiplicity 2)
Al 0.3333 0.6667 0.6041 (multiplicity 2)
Al 0.3333 0.6667 0.9433 (multiplicity 2)
As 0.0000 0.0000 0.1026 (multiplicity 2)
As 0.3333 0.6667 0.2722 (multiplicity 2)
As 0.3333 0.6667 0.4382 (multiplicity 2)

***

(8)
First-principles (PBE) data for CsCdRe after structural relaxation, as listed in Alexandria via LeMat-Bulk.

Calculated values
As for the total energy: -24.1 eV per cell. As for the energy relative to the lowest polymorph listed for this composition: 217 meV per atom. The calculation puts the formation energy at 0.716 eV per atom.

a = 3.7970 Å, b = 5.8934 Å, c = 9.6382 Å
α = 106.20°, β = 90.60°, γ = 90.04°
Space group P1 (No. 1)
Unique sites:
Cs 0.0000 0.0000 0.0000 (multiplicity 1)
Cs 0.0215 0.3656 0.7116 (multiplicity 1)
Cd 0.5059 0.5668 0.1628 (multiplicity 1)
Cd 0.5127 0.2631 0.3814 (multiplicity 1)
Re 0.0117 0.8708 0.3599 (multiplicity 1)
Re 0.5147 0.7730 0.4756 (multiplicity 1)

***

(9)
First-principles (PBE) data for Sm2DyIn3 after structural relaxation, as listed in Alexandria via LeMat-Bulk.

Calculated values
As for the total energy: -100.7 eV per cell. As for the energy relative to the lowest polymorph listed for this composition: 0 meV per atom. The calculation puts the formation energy at -0.485 eV per atom.

a = 5.3845 Å, b = 16.1634 Å, c = 7.6059 Å
α = 90.00°, β = 90.00°, γ = 90.00°
Space group Cmmm (No. 65)
Unique sites:
Sm 0.0000 0.0000 0.0000 (multiplicity 2)
Sm 0.0000 0.0000 0.5000 (multiplicity 2)
Sm 0.0000 0.3348 0.0000 (multiplicity 4)
Dy 0.0000 0.3330 0.5000 (multiplicity 4)
In 0.0000 0.1682 0.2548 (multiplicity 8)
In 0.0000 0.5000 0.2552 (multiplicity 4)

***

(10)
First-principles (PBE) data for Pm4AlZn2Au after structural relaxation, as listed in Alexandria via LeMat-Bulk.

Calculated values
As for the total energy: -96.3 eV per cell. The calculation puts the formation energy at -0.442 eV per atom.

a = 5.1953 Å, b = 5.1953 Å, c = 25.6143 Å
α = 90.00°, β = 90.00°, γ = 120.00°
Space group R-3m (No. 166, hexagonal axes)
Unique sites:
Pm 0.0000 0.0000 0.1240 (multiplicity 6)
Pm 0.0000 0.0000 0.3746 (multiplicity 6)
Al 0.0000 0.0000 0.5000 (multiplicity 3)
Zn 0.0000 0.0000 0.2455 (multiplicity 6)
Au 0.0000 0.0000 0.0000 (multiplicity 3)

***

(11)
First-principles (PBE) data for K2TlSn after structural relaxation, as listed in Alexandria via LeMat-Bulk.

Calculated values
As for the total energy: -31.9 eV per cell. As for the energy relative to the lowest polymorph listed for this composition: 239 meV per atom. The calculation puts the formation energy at 0.147 eV per atom.

a = 4.9478 Å, b = 4.9478 Å, c = 24.8686 Å
α = 90.00°, β = 90.00°, γ = 90.00°
Space group I-42d (No. 122)
Unique sites:
K 0.2501 0.2500 0.1250 (multiplicity 8)
Tl 0.0000 0.0000 0.0000 (multiplicity 4)
Sn 0.0000 0.0000 0.5000 (multiplicity 4)

***

(12)
First-principles (PBE) data for PrZrGa2 after structural relaxation, as listed in Alexandria via LeMat-Bulk.

Calculated values
As for the total energy: -61.7 eV per cell. As for the energy relative to the lowest polymorph listed for this composition: 181 meV per atom. The calculation puts the formation energy at -0.296 eV per atom.

a = 3.6597 Å, b = 3.6597 Å, c = 24.9613 Å
α = 90.00°, β = 90.00°, γ = 120.00°
Space group R-3m (No. 166, hexagonal axes)
Unique sites:
Pr 0.0000 0.0000 0.0000 (multiplicity 3)
Zr 0.0000 0.0000 0.5000 (multiplicity 3)
Ga 0.0000 0.0000 0.2424 (multiplicity 6)